HoCdBi2 (PBE, relaxed); SG = P4/mmm, No. 123
1.0
4.107 0.000 0.000
0.000 4.107 0.000
0.000 0.000 6.790
Ho Cd Bi
1 1 2
direct
0.000 0.000 0.000
0.000 0.000 0.500
0.500 0.500 0.242
0.500 0.500 0.758

=====

HoCdBi2 (PBE, relaxed); SG = R3m, No. 160
1.0
2.321 1.340 6.828
-2.321 1.340 6.828
0.000 -2.680 6.828
Ho Cd Bi
1 1 2
direct
0.000 0.000 0.000
0.832 0.832 0.832
0.415 0.415 0.415
0.585 0.585 0.585

=====

| no. | VASP energy (eV/atom) |
| --- | --- |
| 1 | -3.649 |
| 2 | -3.546 |